[1]
# CaTlAu4 | Alexandria | meta-GGA SCAN | PBEsol geometry
data_CaTlAu4
_chemical_formula_sum 'Ca4 Tl4 Au16'
_space_group_name_H-M_alt 'F -4 3 m'
_space_group_IT_number 216
_space_group_name_Hall 'F -4 2 3'
_cell_length_a 7.852
_cell_length_b 7.852
_cell_length_c 7.852
_cell_angle_alpha 90.00
_cell_angle_beta 90.00
_cell_angle_gamma 90.00
loop_
_atom_site_label
_atom_site_type_symbol
_atom_site_fract_x
_atom_site_fract_y
_atom_site_fract_z
_atom_site_occupancy
Ca1 Ca 0.000 0.000 0.000 1
Tl1 Tl 0.250 0.250 0.250 1
Au1 Au 0.125 0.125 0.625 1
# Energy relative to the elements, eV per atom: -0.437

=====

[2]
# Cr3IrN | Alexandria | meta-GGA SCAN | PBEsol geometry
data_Cr3IrN
_chemical_formula_sum 'Cr3 Ir1 N1'
_space_group_name_H-M_alt 'P m -3 m'
_space_group_IT_number 221
_space_group_name_Hall '-P 4 2 3'
_cell_length_a 3.769
_cell_length_b 3.769
_cell_length_c 3.769
_cell_angle_alpha 90.00
_cell_angle_beta 90.00
_cell_angle_gamma 90.00
loop_
_atom_site_label
_atom_site_type_symbol
_atom_site_fract_x
_atom_site_fract_y
_atom_site_fract_z
_atom_site_occupancy
Cr1 Cr 0.000 0.000 0.500 1
Ir1 Ir 0.500 0.500 0.500 1
N1 N 0.000 0.000 0.000 1
# Formation energy (no corrections), eV/atom: -0.33

=====

[3]
# CdInW2 | Alexandria | meta-GGA SCAN | PBEsol geometry
data_CdInW2
_chemical_formula_sum 'Cd2 In2 W4'
_space_group_name_H-M_alt 'C 1 2/m 1'
_space_group_IT_number 12
_cell_length_a 5.572
_cell_length_b 9.387
_cell_length_c 2.788
_cell_angle_alpha 90.00
_cell_angle_beta 106.94
_cell_angle_gamma 90.00
loop_
_space_group_symop_operation_xyz
'x,y,z'
'-x,-y,-z'
'-x,y,-z'
'x,-y,z'
'x+1/2,y+1/2,z'
'-x+1/2,-y+1/2,-z'
'-x+1/2,y+1/2,-z'
'x+1/2,-y+1/2,z'
loop_
_atom_site_label
_atom_site_type_symbol
_atom_site_fract_x
_atom_site_fract_y
_atom_site_fract_z
_atom_site_occupancy
Cd1 Cd 0.000 0.000 0.000 1
In1 In 0.000 0.500 0.000 1
W1 W 0.250 0.250 0.500 1
# Energy relative to the elements, eV per atom: 0.684
# Excess energy over the best structure of this formula in the dataset, meV/atom: 11

=====

[4]
# Li3Ag | Alexandria | meta-GGA SCAN | PBEsol geometry
data_Li3Ag
_chemical_formula_sum 'Li6 Ag2'
_space_group_name_H-M_alt 'C 1 2/m 1'
_space_group_IT_number 12
_cell_length_a 9.381
_cell_length_b 2.908
_cell_length_c 4.899
_cell_angle_alpha 90.00
_cell_angle_beta 100.54
_cell_angle_gamma 90.00
loop_
_space_group_symop_operation_xyz
'x,y,z'
'-x,-y,-z'
'-x,y,-z'
'x,-y,z'
'x+1/2,y+1/2,z'
'-x+1/2,-y+1/2,-z'
'-x+1/2,y+1/2,-z'
'x+1/2,-y+1/2,z'
loop_
_atom_site_label
_atom_site_type_symbol
_atom_site_fract_x
_atom_site_fract_y
_atom_site_fract_z
_atom_site_occupancy
Li1 Li 0.000 0.000 0.000 1
Li2 Li 0.241 0.000 0.734 1
Ag1 Ag 0.000 0.500 0.500 1
# Energy relative to the elements, eV per atom: -0.129
# Excess energy over the best structure of this formula in the dataset, meV/atom: 36